Entry w
First-principles (PBE) data for a relaxed structure of Sc3PbS, as listed in Alexandria via LeMat-Bulk.

Calculated values
Its crystal system is cubic.

Cell and atoms, written as POSCAR:
```
Sc3PbS
1.0
-2.332 -4.539 -1.818
4.814 -1.779 -1.734
0.856 -2.362 4.800
Pb Sc S
1 3 1
Direct
0.000 0.000 0.000 Pb
0.000 0.500 0.000 Sc
0.000 0.000 0.500 Sc
0.500 0.000 0.000 Sc
0.500 0.500 0.500 S
```

=====

Entry x
First-principles (PBE) data for a relaxed structure of Sc3PbS, as listed in Alexandria via LeMat-Bulk.

Calculated values
Its crystal system is cubic.

Cell and atoms, written as POSCAR:
```
Sc3PbS
1.0
-0.460 1.064 -4.701
-1.772 -4.429 -0.829
-4.483 1.642 0.810
Pb Sc S
1 3 1
Direct
0.500 0.500 0.500 Pb
0.000 0.500 0.000 Sc
0.000 0.000 0.500 Sc
0.500 0.000 0.000 Sc
0.000 0.000 0.000 S
```

=====

Entry y
First-principles (PBE) data for a relaxed structure of Sc3PbS, as listed in Alexandria via LeMat-Bulk.

Calculated values
Its crystal system is monoclinic.

Cell and atoms, written as POSCAR:
```
Sc3PbS
1.0
-0.391 1.972 5.906
3.900 -7.048 2.611
5.498 7.844 -2.256
Sc Pb S
12 4 4
Direct
0.096 0.706 0.664 Sc
0.904 0.294 0.336 Sc
0.596 0.794 0.836 Sc
0.404 0.206 0.164 Sc
0.568 0.663 0.465 Sc
0.432 0.337 0.535 Sc
0.068 0.837 0.035 Sc
0.932 0.163 0.965 Sc
0.161 0.581 0.197 Sc
0.839 0.419 0.803 Sc
0.661 0.919 0.303 Sc
0.339 0.081 0.697 Sc
0.817 0.000 0.635 Pb
0.183 0.000 0.365 Pb
0.317 0.500 0.865 Pb
0.683 0.500 0.135 Pb
0.236 0.480 0.398 S
0.764 0.520 0.602 S
0.736 0.020 0.102 S
0.264 0.980 0.898 S
```

=====

Entry z
First-principles (PBE) data for a relaxed structure of Sc3PbS, as listed in Alexandria via LeMat-Bulk.

Calculated values
Its crystal system is orthorhombic.

Cell and atoms, written as POSCAR:
```
Sc3PbS
1.0
3.782 0.000 0.000
-1.891 5.974 0.000
0.000 0.000 9.674
Sc Pb S
6 2 2
Direct
0.049 0.099 0.750 Sc
0.951 0.901 0.250 Sc
0.363 0.726 0.544 Sc
0.637 0.274 0.456 Sc
0.637 0.274 0.044 Sc
0.363 0.726 0.956 Sc
0.249 0.498 0.250 Pb
0.751 0.502 0.750 Pb
0.000 0.000 0.500 S
0.000 0.000 0.000 S
```

=====

Stability order, top to bottom: entry z, entry y, entry x, entry w

=====

Entry w
First-principles (PBE) data for a relaxed structure of PbSeS2, as listed in Alexandria via LeMat-Bulk.

Calculated values
Its crystal system is cubic.

Cell and atoms, written as POSCAR:
```
PbSeS2
1.0
0.000 3.492 3.492
3.492 0.000 3.492
3.492 3.492 0.000
Pb S Se
1 2 1
Direct
0.500 0.500 0.500 Pb
0.250 0.250 0.250 S
0.750 0.750 0.750 S
0.000 0.000 0.000 Se
```

=====

Entry x
First-principles (PBE) data for a relaxed structure of PbSeS2, as listed in Alexandria via LeMat-Bulk.

Calculated values
Its crystal system is tetragonal.

Cell and atoms, written as POSCAR:
```
PbSeS2
1.0
5.461 0.000 0.000
0.000 5.461 0.000
2.730 2.730 7.681
Pb S Se
2 4 2
Direct
0.000 0.000 0.000 Pb
0.750 0.250 0.500 Pb
0.562 0.125 0.250 S
0.188 0.625 0.250 S
0.375 0.438 0.750 S
0.875 0.812 0.750 S
0.500 0.500 0.000 Se
0.250 0.750 0.500 Se
```

=====

Stability order, top to bottom: entry x, entry w

=====

Entry w
First-principles (PBE) data for a relaxed structure of PbSeS2, as listed in Alexandria via LeMat-Bulk.

Calculated values
Its crystal system is triclinic.

Cell and atoms, written as POSCAR:
```
PbSeS2
1.0
-4.058 0.352 1.242
-1.270 -2.425 -3.490
4.711 -2.071 19.325
Pb Se S
2 2 4
Direct
0.225 0.140 0.612 Pb
0.775 0.860 0.388 Pb
0.726 0.649 0.615 Se
0.274 0.351 0.385 Se
0.850 0.312 0.899 S
0.150 0.688 0.101 S
0.184 0.999 0.892 S
0.816 0.001 0.108 S
```

=====

Entry x
First-principles (PBE) data for a relaxed structure of PbSeS2, as listed in Alexandria via LeMat-Bulk.

Calculated values
Its crystal system is trigonal.

Cell and atoms, written as POSCAR:
```
PbSeS2
1.0
-5.429 -6.199 0.588
-2.010 -7.633 2.436
-4.606 -5.163 4.514
Pb S Se
1 2 1
Direct
0.500 0.500 0.500 Pb
0.901 0.901 0.901 S
0.099 0.099 0.099 S
0.000 0.000 0.000 Se
```

=====

Stability order, top to bottom: entry w, entry x

=====

Entry w
First-principles (PBE) data for a relaxed structure of PbSeS2, as listed in Alexandria via LeMat-Bulk.

Calculated values
Its crystal system is monoclinic.

Cell and atoms, written as POSCAR:
```
PbSeS2
1.0
7.581 0.000 0.000
0.000 8.236 -0.138
0.000 -4.094 7.212
Pb Se S
4 4 8
Direct
0.098 0.280 0.038 Pb
0.402 0.780 0.538 Pb
0.902 0.720 0.962 Pb
0.598 0.220 0.462 Pb
0.597 0.195 0.932 Se
0.097 0.305 0.568 Se
0.403 0.805 0.068 Se
0.903 0.695 0.432 Se
0.290 0.179 0.680 S
0.232 0.893 0.902 S
0.790 0.321 0.820 S
0.710 0.821 0.320 S
0.768 0.107 0.098 S
0.732 0.607 0.598 S
0.268 0.393 0.402 S
0.210 0.679 0.180 S
```

=====

Entry x
First-principles (PBE) data for a relaxed structure of PbSeS2, as listed in Alexandria via LeMat-Bulk.

Calculated values
Its crystal system is trigonal.

Cell and atoms, written as POSCAR:
```
PbSeS2
1.0
-8.867 -1.681 -1.143
-8.705 -0.974 2.456
-8.919 1.791 0.050
Pb S Se
1 2 1
Direct
0.000 0.000 0.000 Pb
0.888 0.888 0.888 S
0.112 0.112 0.112 S
0.500 0.500 0.500 Se
```

=====

Stability order, top to bottom: entry w, entry x

=====

Entry w
First-principles (PBE) data for a relaxed structure of PbSeS, as listed in Alexandria via LeMat-Bulk.

Calculated values
Its crystal system is monoclinic.

Cell and atoms, written as POSCAR:
```
PbSeS
1.0
4.363 0.049 -0.304
-0.112 4.362 -0.304
0.708 0.734 8.887
Pb Se S
2 2 2
Direct
0.245 0.245 0.173 Pb
0.755 0.755 0.827 Pb
0.758 0.758 0.153 Se
0.242 0.242 0.847 Se
0.158 0.158 0.506 S
0.842 0.842 0.494 S
```

=====

Entry x
First-principles (PBE) data for a relaxed structure of PbSeS, as listed in Alexandria via LeMat-Bulk.

Calculated values
Its crystal system is monoclinic.

Cell and atoms, written as POSCAR:
```
PbSeS
1.0
-1.335 3.007 -2.463
-3.683 -5.245 -0.979
-1.284 4.810 6.570
Se Pb S
2 2 2
Direct
0.624 0.249 0.363 Se
0.376 0.751 0.637 Se
0.000 0.000 0.500 Pb
0.000 0.000 0.000 Pb
0.404 0.808 0.159 S
0.596 0.192 0.841 S
```

=====

Stability order, top to bottom: entry w, entry x

=====

Entry w
First-principles (PBE) data for a relaxed structure of Pb2SeS, as listed in Alexandria via LeMat-Bulk.

Calculated values
Its crystal system is trigonal.

Cell and atoms, written as POSCAR:
```
Pb2SeS
1.0
7.477 0.000 0.000
6.231 4.132 0.000
6.231 1.879 3.681
Pb S Se
2 1 1
Direct
0.247 0.247 0.247 Pb
0.753 0.753 0.753 Pb
0.500 0.500 0.500 S
0.000 0.000 0.000 Se
```

=====

Entry x
First-principles (PBE) data for a relaxed structure of Pb2SeS, as listed in Alexandria via LeMat-Bulk.

Calculated values
Its crystal system is trigonal.

Cell and atoms, written as POSCAR:
```
Pb2SeS
1.0
-4.449 -1.790 1.797
2.840 -2.884 -3.137
2.926 -2.400 4.855
Pb Se S
2 1 1
Direct
0.667 0.333 0.935 Pb
0.000 0.000 0.419 Pb
0.667 0.333 0.445 Se
0.000 0.000 0.951 S
```

=====

Stability order, top to bottom: entry w, entry x

=====

Entry w
First-principles (PBE) data for a relaxed structure of Pb2SeS, as listed in Alexandria via LeMat-Bulk.

Calculated values
Its crystal system is trigonal.

Cell and atoms, written as POSCAR:
```
Pb2SeS
1.0
4.220 0.000 0.000
2.110 3.654 0.000
2.110 1.218 7.522
Pb Se S
2 1 1
Direct
0.084 0.084 0.747 Pb
0.259 0.259 0.223 Pb
0.494 0.494 0.518 Se
0.663 0.663 0.011 S
```

=====

Entry x
First-principles (PBE) data for a relaxed structure of Pb2SeS, as listed in Alexandria via LeMat-Bulk.

Calculated values
Its crystal system is tetragonal.

Cell and atoms, written as POSCAR:
```
Pb2SeS
1.0
6.775 0.000 0.000
0.000 6.775 0.000
3.388 3.388 6.728
Pb S Se
4 2 2
Direct
0.611 0.125 0.250 Pb
0.139 0.625 0.250 Pb
0.375 0.389 0.750 Pb
0.875 0.861 0.750 Pb
0.500 0.500 0.000 S
0.250 0.750 0.500 S
0.000 0.000 0.000 Se
0.750 0.250 0.500 Se
```

=====

Stability order, top to bottom: entry w, entry x

=====

Entry w
First-principles (PBE) data for a relaxed structure of TlPbSeS, as listed in Alexandria via LeMat-Bulk.

Calculated values
Its crystal system is trigonal.

Cell and atoms, written as POSCAR:
```
TlPbSeS
1.0
5.015 0.000 0.000
2.508 4.343 0.000
2.508 1.448 11.428
Tl Pb Se S
2 2 2 2
Direct
0.706 0.706 0.883 Tl
0.294 0.294 0.117 Tl
0.122 0.122 0.633 Pb
0.878 0.878 0.367 Pb
0.617 0.617 0.149 Se
0.383 0.383 0.851 Se
0.798 0.798 0.607 S
0.202 0.202 0.393 S
```

=====

Entry x
First-principles (PBE) data for a relaxed structure of TlPbSeS, as listed in Alexandria via LeMat-Bulk.

Calculated values
Its crystal system is cubic.

Cell and atoms, written as POSCAR:
```
TlPbSeS
1.0
-3.599 0.388 3.755
-3.119 -4.046 1.051
0.581 -2.653 4.453
Pb Tl S Se
1 1 1 1
Direct
0.000 0.000 0.000 Pb
0.500 0.500 0.500 Tl
0.750 0.750 0.750 S
0.250 0.250 0.250 Se
```

=====

Stability order, top to bottom: entry w, entry x

=====

Entry w
First-principles (PBE) data for a relaxed structure of SiPb2S, as listed in Alexandria via LeMat-Bulk.

Calculated values
Its crystal system is cubic.

Cell and atoms, written as POSCAR:
```
SiPb2S
1.0
-0.017 1.479 4.908
-1.760 4.644 1.272
-4.438 0.455 2.525
Pb S Si
2 1 1
Direct
0.250 0.250 0.250 Pb
0.750 0.750 0.750 Pb
0.500 0.500 0.500 S
0.000 0.000 0.000 Si
```

=====

Entry x
First-principles (PBE) data for a relaxed structure of SiPb2S, as listed in Alexandria via LeMat-Bulk.

Calculated values
Its crystal system is tetragonal.

Cell and atoms, written as POSCAR:
```
SiPb2S
1.0
6.296 0.000 0.000
0.000 6.296 0.000
3.148 3.148 6.894
Pb S Si
4 2 2
Direct
0.621 0.125 0.250 Pb
0.129 0.625 0.250 Pb
0.375 0.379 0.750 Pb
0.875 0.871 0.750 Pb
0.000 0.000 0.000 S
0.750 0.250 0.500 S
0.500 0.500 0.000 Si
0.250 0.750 0.500 Si
```

=====

Stability order, top to bottom: entry x, entry w

=====

Entry w
First-principles (PBE) data for a relaxed structure of Si2PbS, as listed in Alexandria via LeMat-Bulk.

Calculated values
Its crystal system is tetragonal.

Cell and atoms, written as POSCAR:
```
Si2PbS
1.0
-2.030 0.664 -3.862
1.667 -3.790 -1.527
-7.585 -6.075 0.422
Pb S Si
2 2 4
Direct
0.000 0.000 0.000 Pb
0.750 0.250 0.500 Pb
0.500 0.500 0.000 S
0.250 0.750 0.500 S
0.508 0.125 0.250 Si
0.242 0.625 0.250 Si
0.375 0.492 0.750 Si
0.875 0.758 0.750 Si
```

=====

Entry x
First-principles (PBE) data for a relaxed structure of Si2PbS, as listed in Alexandria via LeMat-Bulk.

Calculated values
Its crystal system is cubic.

Cell and atoms, written as POSCAR:
```
Si2PbS
1.0
0.318 0.757 4.764
-3.782 1.792 2.420
-2.462 -2.814 3.064
Pb S Si
1 1 2
Direct
0.500 0.500 0.500 Pb
0.000 0.000 0.000 S
0.250 0.250 0.250 Si
0.750 0.750 0.750 Si
```

=====

Stability order, top to bottom: entry w, entry x

=====

Entry w
First-principles (PBE) data for a relaxed structure of SmPbS2, as listed in Alexandria via LeMat-Bulk.

Calculated values
Its crystal system is trigonal.

Cell and atoms, written as POSCAR:
```
SmPbS2
1.0
3.883 0.000 0.000
1.942 3.363 0.000
1.942 1.121 7.944
Sm Pb S
1 1 2
Direct
0.501 0.501 0.498 Sm
0.667 0.667 0.000 Pb
0.095 0.095 0.716 S
0.238 0.238 0.286 S
```

=====

Entry x
First-principles (PBE) data for a relaxed structure of SmPbS2, as listed in Alexandria via LeMat-Bulk.

Calculated values
Its crystal system is trigonal.

Cell and atoms, written as POSCAR:
```
SmPbS2
1.0
4.032 0.000 0.000
2.016 3.492 0.000
2.016 1.164 8.736
Pb S Sm
1 2 1
Direct
0.000 0.000 0.000 Pb
0.108 0.108 0.675 S
0.892 0.892 0.325 S
0.500 0.500 0.500 Sm
```

=====

Stability order, top to bottom: entry x, entry w

=====

Entry w
First-principles (PBE) data for a relaxed structure of Sm2PbS, as listed in Alexandria via LeMat-Bulk.

Calculated values
Its crystal system is monoclinic.

Cell and atoms, written as POSCAR:
```
Sm2PbS
1.0
3.970 -0.007 -0.010
-1.990 3.435 0.010
-1.998 -1.133 7.997
Sm Pb S
2 1 1
Direct
0.532 0.267 0.800 Sm
0.468 0.733 0.200 Sm
0.000 0.500 0.500 Pb
0.000 0.000 0.000 S
```

=====

Entry x
First-principles (PBE) data for a relaxed structure of Sm2PbS, as listed in Alexandria via LeMat-Bulk.

Calculated values
Its crystal system is trigonal.

Cell and atoms, written as POSCAR:
```
Sm2PbS
1.0
-1.074 -0.398 -3.722
-2.952 -2.362 -0.933
-6.669 5.398 -0.691
Sm Pb S
2 1 1
Direct
0.066 0.066 0.803 Sm
0.268 0.268 0.196 Sm
0.499 0.499 0.502 Pb
0.667 0.667 0.998 S
```

=====

Stability order, top to bottom: entry w, entry x